Entry 1:
VASP calculation (PBE) on LaTbDyCd after structural relaxation.

Geometry as extended XYZ:
```
4
Lattice="5.554 0.000 0.000 2.777 4.810 0.000 2.777 1.603 4.535" Properties=species:S:1:pos:R:3 pbc="T T T"
La 0.000 0.000 0.000
Tb 2.777 1.603 1.134
Cd 8.332 4.810 3.401
Dy 5.554 3.207 2.268
```

Values from the calculation:
DOS at the Fermi energy   1.371 states/eV per atom
ΔE to the lowest computed polymorph   113 meV per atom

---

Entry 2:
VASP calculation (PBE) on LaDyThCd after structural relaxation.

Geometry as extended XYZ:
```
4
Lattice="-3.020 1.152 -4.549 1.480 -2.125 -4.943 -3.109 -3.984 -2.368" Properties=species:S:1:pos:R:3 pbc="T T T"
La 0.000 0.000 0.000
Th -2.325 -2.478 -5.930
Dy -1.162 -1.239 -2.965
Cd -3.487 -3.718 -8.895
```

Values from the calculation:
DOS at the Fermi energy   1.684 states/eV per atom
ΔE to the lowest computed polymorph   203 meV per atom

---

Entry 3:
VASP calculation (PBE) on LaDyThCd after structural relaxation.

Geometry as extended XYZ:
```
4
Lattice="3.643 0.000 0.000 0.000 3.643 0.000 0.000 0.000 9.110" Properties=species:S:1:pos:R:3 pbc="T T T"
Dy 0.000 0.000 5.038
Cd 1.822 1.822 3.064
La 0.000 0.000 0.761
Th 1.822 1.822 7.395
```

Values from the calculation:
DOS at the Fermi energy   0.949 states/eV per atom
ΔE to the lowest computed polymorph   0 meV per atom

---

Entry 4:
VASP calculation (PBE) on LaDy2Tl2Cd2 after structural relaxation.

Geometry as extended XYZ:
```
7
Lattice="5.057 0.000 0.000 2.528 4.379 0.000 2.528 1.460 8.894" Properties=species:S:1:pos:R:3 pbc="T T T"
Tl 2.528 1.460 1.788
Tl 7.585 4.379 7.106
La 0.000 0.000 0.000
Dy 7.585 4.379 3.597
Dy 2.528 1.460 5.297
Cd 5.057 2.919 2.692
Cd 5.057 2.919 6.202
```

Values from the calculation:
Calculated total energy   -3.16 eV/atom
DOS at the Fermi energy   0.669 states/eV per atom

---

Entry 5:
VASP calculation (PBE) on La2DyTl2Cd2 after structural relaxation.

Geometry as extended XYZ:
```
7
Lattice="-0.019 -2.243 -4.434 -2.815 -4.028 -0.735 -7.859 3.226 -4.382" Properties=species:S:1:pos:R:3 pbc="T T T"
Tl -2.132 -1.177 -2.180
Tl -8.561 -1.868 -7.372
La -5.693 -4.073 -6.269
La -5.000 1.028 -3.283
Cd -7.087 -0.184 -5.445
Cd -3.605 -2.861 -4.106
Dy 0.000 0.000 0.000
```

Values from the calculation:
Calculated total energy   -3.19 eV/atom
DOS at the Fermi energy   0.612 states/eV per atom

---

Entry 6:
VASP calculation (PBE) on La2Dy2TmCd5 after structural relaxation.

Geometry as extended XYZ:
```
20
Lattice="4.769 0.000 0.000 0.000 10.715 0.000 0.000 0.000 10.715" Properties=species:S:1:pos:R:3 pbc="T T T"
La 0.000 1.878 3.480
La 0.000 3.480 8.838
La 0.000 8.838 7.235
La 0.000 7.235 1.878
Dy 0.000 6.687 9.386
Dy 0.000 9.386 4.028
Dy 0.000 1.329 6.687
Dy 0.000 4.028 1.329
Tm 0.000 0.000 0.000
Tm 0.000 5.358 5.358
Cd 2.385 0.704 8.644
Cd 2.385 10.012 2.071
Cd 2.385 6.061 7.429
Cd 2.385 4.654 3.286
Cd 2.385 5.358 0.000
Cd 2.385 8.644 10.012
Cd 2.385 7.429 4.654
Cd 2.385 0.000 5.358
Cd 2.385 2.071 0.704
Cd 2.385 3.286 6.061
```

Values from the calculation:
Calculated total energy   -3.01 eV/atom
DOS at the Fermi energy   0.719 states/eV per atom

---

Entry 7:
VASP calculation (PBE) on La2DyY2Cd5 after structural relaxation.

Geometry as extended XYZ:
```
20
Lattice="-3.147 -3.341 -1.319 7.290 -7.680 2.061 -3.563 -0.656 10.161" Properties=species:S:1:pos:R:3 pbc="T T T"
Cd 2.072 -5.511 0.371
Cd -3.964 -2.709 7.670
Cd -1.358 -4.395 5.726
Cd -3.355 -1.999 4.421
Cd -0.398 -3.202 0.413
Cd 0.497 -5.203 3.346
Cd 1.938 -7.283 5.177
Cd 0.977 -8.476 10.490
Cd 4.544 -8.969 3.233
Cd 0.083 -6.475 7.556
Y 5.046 -6.974 5.625
Y -1.319 -1.362 6.597
Y 2.299 -2.969 2.035
Y 1.428 -5.368 10.187
La -0.572 -3.033 9.046
La 4.299 -5.303 3.176
La 3.604 -6.776 8.563
La 0.123 -1.561 3.659
Dy 0.000 0.000 0.000
Dy 1.864 -4.168 6.111
```

Values from the calculation:
Calculated total energy   -3.40 eV/atom
DOS at the Fermi energy   0.732 states/eV per atom

---

Entry 8:
VASP calculation (PBE) on LaDyZnCd after structural relaxation.

Geometry as extended XYZ:
```
4
Lattice="-1.105 2.911 -1.963 -1.972 -2.217 -2.178 -6.130 0.840 4.695" Properties=species:S:1:pos:R:3 pbc="T T T"
La -2.311 0.453 -1.479
Dy -5.134 0.840 0.683
Cd -5.111 0.701 3.915
Zn -2.339 0.321 1.792
```

Values from the calculation:
DOS at the Fermi energy   1.122 states/eV per atom
ΔE to the lowest computed polymorph   0 meV per atom

---

Entry 9:
VASP calculation (PBE) on LaDyZnCd after structural relaxation.

Geometry as extended XYZ:
```
4
Lattice="-2.174 -4.081 2.639 0.785 -4.986 -1.693 3.091 -3.308 2.802" Properties=species:S:1:pos:R:3 pbc="T T T"
Zn 0.425 -3.094 0.937
La 0.000 0.000 0.000
Dy 0.851 -6.188 1.874
Cd 1.276 -9.281 2.811
```

Values from the calculation:
DOS at the Fermi energy   1.281 states/eV per atom
ΔE to the lowest computed polymorph   37 meV per atom

---

Entry 10:
VASP calculation (PBE) on Li3DyCd9 after structural relaxation.

Geometry as extended XYZ:
```
13
Lattice="5.001 0.043 2.030 2.461 7.074 0.999 -0.151 0.021 7.548" Properties=species:S:1:pos:R:3 pbc="T T T"
Cd 5.356 5.655 8.130
Cd 4.028 2.432 4.321
Cd 6.562 4.728 5.349
Cd 4.355 5.633 3.421
Cd 0.748 2.411 5.227
Cd 2.955 1.505 7.155
Cd 3.282 4.706 6.256
Cd 1.231 3.537 0.499
Cd 1.954 1.484 2.447
Li -0.076 0.011 3.774
Li 3.731 3.559 1.514
Li 2.425 0.032 4.789
Dy 0.000 0.000 0.000
```

Values from the calculation:
Calculated total energy   -1.64 eV/atom
DOS at the Fermi energy   0.326 states/eV per atom

---

Entry 11:
VASP calculation (PBE) on LiDy2Cd3 after structural relaxation.

Geometry as extended XYZ:
```
6
Lattice="3.588 0.000 0.000 0.000 3.588 0.000 0.000 0.000 11.153" Properties=species:S:1:pos:R:3 pbc="T T T"
Cd 0.000 0.000 0.000
Cd 0.000 0.000 7.159
Cd 0.000 0.000 3.995
Li 1.794 1.794 5.577
Dy 1.794 1.794 9.186
Dy 1.794 1.794 1.968
```

Values from the calculation:
Calculated total energy   -2.59 eV/atom
DOS at the Fermi energy   0.935 states/eV per atom

---

Entry 12:
VASP calculation (PBE) on Li5DyCd4 after structural relaxation.

Geometry as extended XYZ:
```
10
Lattice="-2.796 1.250 -1.567 -1.658 -2.953 0.603 -5.476 6.057 14.598" Properties=species:S:1:pos:R:3 pbc="T T T"
Li -4.965 2.177 6.817
Li -2.939 -0.064 1.417
Li -6.990 4.417 12.216
Li -3.928 1.030 4.052
Li -6.002 3.324 9.581
Cd -2.214 2.449 5.901
Cd -4.317 4.775 11.507
Cd -1.159 1.282 3.091
Cd -3.263 3.609 8.697
Dy 0.000 0.000 0.000
```

Values from the calculation:
Calculated total energy   -1.95 eV/atom
DOS at the Fermi energy   0.547 states/eV per atom

---

Entry 13:
VASP calculation (PBE) on Li2Dy3Cd3 after structural relaxation.

Geometry as extended XYZ:
```
8
Lattice="3.677 0.000 -0.592 -0.198 5.107 -1.228 -0.181 -0.166 10.589" Properties=species:S:1:pos:R:3 pbc="T T T"
Dy 1.161 1.779 7.212
Dy 2.137 3.162 1.557
Dy 1.839 0.000 -0.296
Li 0.712 3.796 4.423
Li 2.586 1.145 4.346
Cd -0.099 2.554 -0.614
Cd 2.876 4.294 6.144
Cd 0.423 0.648 2.625
```

Values from the calculation:
Calculated total energy   -2.74 eV/atom
DOS at the Fermi energy   0.871 states/eV per atom

---

Entry 14:
VASP calculation (PBE) on Li4DyCd15 after structural relaxation.

Geometry as extended XYZ:
```
20
Lattice="-3.214 -3.019 0.404 0.361 -0.961 -4.307 14.954 -15.296 4.666" Properties=species:S:1:pos:R:3 pbc="T T T"
Cd 13.504 -14.108 2.003
Cd 1.693 -5.180 -0.978
Cd 7.515 -11.136 0.839
Cd 5.870 -9.157 2.535
Cd 7.657 -8.128 0.179
Cd 1.811 -2.148 -1.645
Cd 2.958 -6.178 1.626
Cd 0.024 -3.177 0.711
Cd 8.782 -12.136 3.444
Cd 4.745 -5.150 -0.729
Cd 10.408 -14.095 1.741
Cd -1.426 -1.990 -1.951
Cd 11.717 -15.137 4.359
Cd 10.570 -11.107 1.088
Cd 4.586 -8.139 -0.075
Li 6.040 -6.178 1.884
Li 3.081 -3.152 0.961
Li 11.873 -12.144 3.704
Li 8.914 -9.118 2.781
Dy 0.000 0.000 0.000
```

Values from the calculation:
Calculated total energy   -1.48 eV/atom
DOS at the Fermi energy   0.257 states/eV per atom

---

Entry 15:
VASP calculation (PBE) on LiDy2Cd after structural relaxation.

Geometry as extended XYZ:
```
4
Lattice="-0.767 3.421 1.420 -4.561 -1.773 1.808 2.301 -1.345 4.484" Properties=species:S:1:pos:R:3 pbc="T T T"
Dy -2.280 -0.887 0.904
Dy 1.150 -0.673 2.242
Cd -0.384 1.710 0.710
Li -1.514 0.151 3.856
```

Values from the calculation:
DOS at the Fermi energy   1.084 states/eV per atom
ΔE to the lowest computed polymorph   0 meV per atom

---

Entry 16:
VASP calculation (PBE) on Li2DyCd3 after structural relaxation.

Geometry as extended XYZ:
```
6
Lattice="3.441 0.000 0.000 0.000 3.441 0.000 0.000 0.000 10.633" Properties=species:S:1:pos:R:3 pbc="T T T"
Cd 0.000 0.000 0.000
Cd 0.000 0.000 7.472
Cd 0.000 0.000 3.161
Li 1.721 1.721 1.617
Li 1.721 1.721 9.016
Dy 1.721 1.721 5.316
```

Values from the calculation:
DOS at the Fermi energy   0.586 states/eV per atom
ΔE to the lowest computed polymorph   0 meV per atom

---

Entry 17:
VASP calculation (PBE) on LiDyCd17 after structural relaxation.

Geometry as extended XYZ:
```
19
Lattice="7.603 0.140 1.053 0.936 7.547 1.053 0.155 0.140 7.674" Properties=species:S:1:pos:R:3 pbc="T T T"
Cd 7.982 2.541 6.699
Cd 5.627 5.064 2.189
Cd 3.364 7.671 6.699
Cd 3.574 3.217 6.611
Cd 7.791 7.012 8.764
Cd 6.258 7.671 4.126
Cd 1.515 5.064 5.844
Cd 6.147 3.217 4.324
Cd 8.285 5.419 4.126
Cd 0.332 0.299 3.614
Cd 0.739 0.666 0.832
Cd 5.195 0.975 5.844
Cd 3.551 0.299 0.753
Cd 3.127 5.419 8.711
Cd 0.670 3.500 0.753
Cd 5.717 2.541 8.711
Cd 3.844 5.775 4.324
Li 6.015 5.414 6.766
Dy 2.867 2.580 3.225
```

Values from the calculation:
Calculated total energy   -1.22 eV/atom
DOS at the Fermi energy   0.262 states/eV per atom

---

Entry 18:
VASP calculation (PBE) on LiDyCd4 after structural relaxation.

Geometry as extended XYZ:
```
6
Lattice="5.836 0.000 0.000 2.918 5.055 0.000 2.918 1.685 4.765" Properties=species:S:1:pos:R:3 pbc="T T T"
Dy 0.000 0.000 0.000
Li 2.918 1.685 1.191
Cd 7.294 4.211 2.978
Cd 4.379 4.211 2.978
Cd 5.836 3.370 0.598
Cd 5.836 1.687 2.978
```

Values from the calculation:
DOS at the Fermi energy   0.594 states/eV per atom
ΔE to the lowest computed polymorph   72 meV per atom

---

Entry 19:
VASP calculation (PBE) on Li5DyCd7 after structural relaxation.

Geometry as extended XYZ:
```
13
Lattice="-1.953 -4.782 0.895 2.670 -4.900 -5.003 4.425 -3.800 4.706" Properties=species:S:1:pos:R:3 pbc="T T T"
Li 1.237 -4.283 2.797
Li 4.117 -10.224 0.414
Li 0.361 -4.832 -2.052
Li 1.331 -2.456 -2.497
Li 2.208 -1.907 2.352
Cd 1.227 -6.159 0.476
Cd 4.022 -7.369 0.108
Cd 3.033 -6.387 3.199
Cd 1.371 -9.315 -0.723
Cd 1.900 -8.983 2.205
Cd 0.946 -3.223 0.194
Cd 1.988 -7.042 -2.585
Dy -1.930 -4.792 0.892
```

Values from the calculation:
Calculated total energy   -1.80 eV/atom
DOS at the Fermi energy   0.475 states/eV per atom

---

Entry 20:
VASP calculation (PBE) on Li2Dy2Cd3 after structural relaxation.

Geometry as extended XYZ:
```
7
Lattice="-3.445 -1.922 0.061 1.636 -2.951 -0.570 -0.604 -2.594 11.702" Properties=species:S:1:pos:R:3 pbc="T T T"
Li -1.991 -4.326 6.417
Li -0.423 -3.140 4.777
Cd -3.080 -2.455 3.872
Cd 0.000 0.000 0.000
Cd -0.970 -2.060 7.891
Dy -1.689 -4.767 9.565
Dy -0.724 -2.700 1.628
```

Values from the calculation:
Calculated total energy   -2.47 eV/atom
DOS at the Fermi energy   0.812 states/eV per atom